[1]
Here is a PBEsol-optimized structure of SmMg2Cu9 from Alexandria. Energies are from meta-GGA SCAN.

Unit cell a=4.946 b=4.946 c=15.901 alpha=90.00 beta=90.00 gamma=120.00
Fractional coordinates of all 24 atoms:
Sm1 0.667 0.333 0.250
Sm2 0.333 0.667 0.750
Mg1 0.667 0.333 0.032
Mg2 0.333 0.667 0.532
Mg3 0.667 0.333 0.468
Mg4 0.333 0.667 0.968
Cu1 0.333 0.667 0.250
Cu2 0.667 0.333 0.750
Cu3 0.168 0.832 0.123
Cu4 0.664 0.832 0.123
Cu5 0.000 0.000 0.750
Cu6 0.000 0.000 0.250
Cu7 0.000 0.000 0.500
Cu8 0.000 0.000 0.000
Cu9 0.664 0.832 0.377
Cu10 0.832 0.168 0.877
Cu11 0.832 0.664 0.877
Cu12 0.168 0.336 0.377
Cu13 0.168 0.832 0.377
Cu14 0.336 0.168 0.623
Cu15 0.832 0.168 0.623
Cu16 0.336 0.168 0.877
Cu17 0.832 0.664 0.623
Cu18 0.168 0.336 0.123

Results
* space group: P6_3/mmc, No. 194
* DOS at the Fermi energy: 0.44 states/eV per atom
* formation enthalpy at 0 K: -0.199 eV/atom
* final energy: -16.131 eV/atom

[2]
Here is a PBEsol-optimized structure of MgCu4Sn from Alexandria. Energies are from meta-GGA SCAN.

Unit cell a=4.910 b=4.910 c=4.910 alpha=60.00 beta=60.00 gamma=60.00
Fractional coordinates of all 6 atoms:
Mg1 0.750 0.750 0.750
Cu1 0.375 0.375 0.375
Cu2 0.375 0.874 0.375
Cu3 0.874 0.375 0.375
Cu4 0.375 0.375 0.874
Sn1 0.000 0.000 0.000

Results
* space group: F-43m, No. 216
* DOS at the Fermi energy: 0.13 states/eV per atom
* formation enthalpy at 0 K: -0.148 eV/atom
* final energy: -17.097 eV/atom

[3]
Here is a PBEsol-optimized structure of MgCuSn from Alexandria. Energies are from meta-GGA SCAN.

Unit cell a=4.345 b=4.345 c=4.345 alpha=60.00 beta=60.00 gamma=60.00
Fractional coordinates of all 3 atoms:
Mg1 0.250 0.250 0.250
Sn1 0.750 0.750 0.750
Cu1 0.000 0.000 0.000

Results
* space group: F-43m, No. 216
* DOS at the Fermi energy: 0.34 states/eV per atom
* formation enthalpy at 0 K: -0.258 eV/atom
* final energy: -18.956 eV/atom

[4]
Here is a PBEsol-optimized structure of SrMgCu2 from Alexandria. Energies are from meta-GGA SCAN.

Unit cell a=4.817 b=4.817 c=4.817 alpha=60.00 beta=60.00 gamma=60.00
Fractional coordinates of all 4 atoms:
Cu1 0.000 0.000 0.000
Cu2 0.750 0.750 0.750
Mg1 0.500 0.500 0.500
Sr1 0.250 0.250 0.250

Results
* space group: F-43m, No. 216
* DOS at the Fermi energy: 0.50 states/eV per atom
* formation enthalpy at 0 K: 0.309 eV/atom
* final energy: -14.103 eV/atom

[5]
Here is a PBEsol-optimized structure of SrMgCu2 from Alexandria. Energies are from meta-GGA SCAN.

Unit cell a=4.238 b=4.247 c=6.257 alpha=109.85 beta=90.00 gamma=119.93
Fractional coordinates of all 4 atoms:
Sr1 0.733 0.467 0.201
Mg1 0.547 0.095 0.641
Cu1 0.943 0.885 0.828
Cu2 0.277 0.554 0.830

Results
* space group: Cm, No. 8
* DOS at the Fermi energy: 0.46 states/eV per atom
* formation enthalpy at 0 K: -0.047 eV/atom
* final energy: -14.459 eV/atom

[6]
Here is a PBEsol-optimized structure of MgTaCu3 from Alexandria. Energies are from meta-GGA SCAN.

Unit cell a=4.248 b=4.248 c=4.248 alpha=90.00 beta=90.00 gamma=90.00
Fractional coordinates of all 5 atoms:
Mg1 0.000 0.000 0.000
Cu1 0.000 0.500 0.000
Cu2 0.000 0.000 0.500
Cu3 0.500 0.000 0.000
Ta1 0.500 0.500 0.500

Results
* space group: Pm-3m, No. 221
* DOS at the Fermi energy: 0.89 states/eV per atom
* formation enthalpy at 0 K: 1.196 eV/atom
* final energy: -22.235 eV/atom

[7]
Here is a PBEsol-optimized structure of MgTa2Cu from Alexandria. Energies are from meta-GGA SCAN.

Unit cell a=2.834 b=4.989 c=4.989 alpha=113.11 beta=90.00 gamma=90.00
Fractional coordinates of all 4 atoms:
Cu1 0.500 0.000 0.000
Mg1 0.500 0.500 0.500
Ta1 0.000 0.500 0.000
Ta2 0.000 0.000 0.500

Results
* space group: Cmmm, No. 65
* DOS at the Fermi energy: 0.96 states/eV per atom
* formation enthalpy at 0 K: 0.325 eV/atom
* final energy: -38.010 eV/atom

[8]
Here is a PBEsol-optimized structure of MgTa2Cu from Alexandria. Energies are from meta-GGA SCAN.

Unit cell a=2.826 b=2.826 c=9.819 alpha=81.73 beta=81.73 gamma=60.00
Fractional coordinates of all 4 atoms:
Cu1 0.500 0.500 0.500
Mg1 0.000 0.000 0.000
Ta1 0.244 0.244 0.269
Ta2 0.756 0.756 0.731

Results
* space group: R-3m, No. 166
* DOS at the Fermi energy: 0.81 states/eV per atom
* formation enthalpy at 0 K: 0.339 eV/atom
* final energy: -37.996 eV/atom

[9]
Here is a PBEsol-optimized structure of MgTaCu2 from Alexandria. Energies are from meta-GGA SCAN.

Unit cell a=2.672 b=4.665 c=5.073 alpha=105.93 beta=105.27 gamma=90.00
Fractional coordinates of all 4 atoms:
Cu1 0.978 0.040 0.956
Cu2 0.277 0.713 0.554
Mg1 0.517 0.560 0.035
Ta1 0.728 0.187 0.456

Results
* space group: Cm, No. 8
* DOS at the Fermi energy: 0.50 states/eV per atom
* formation enthalpy at 0 K: 0.104 eV/atom
* final energy: -25.385 eV/atom

[10]
Here is a PBEsol-optimized structure of MgTaCu2 from Alexandria. Energies are from meta-GGA SCAN.

Unit cell a=2.794 b=2.794 c=9.033 alpha=81.10 beta=81.10 gamma=60.00
Fractional coordinates of all 4 atoms:
Cu1 0.250 0.250 0.251
Cu2 0.750 0.750 0.749
Mg1 0.500 0.500 0.500
Ta1 0.000 0.000 0.000

Results
* space group: R-3m, No. 166
* DOS at the Fermi energy: 0.43 states/eV per atom
* formation enthalpy at 0 K: 0.197 eV/atom
* final energy: -25.292 eV/atom

[11]
Here is a PBEsol-optimized structure of MgTaCu2 from Alexandria. Energies are from meta-GGA SCAN.

Unit cell a=4.321 b=4.321 c=4.321 alpha=60.00 beta=60.00 gamma=60.00
Fractional coordinates of all 4 atoms:
Cu1 0.000 0.000 0.000
Cu2 0.250 0.250 0.250
Mg1 0.500 0.500 0.500
Ta1 0.750 0.750 0.750

Results
* space group: F-43m, No. 216
* DOS at the Fermi energy: 0.66 states/eV per atom
* formation enthalpy at 0 K: 0.383 eV/atom
* final energy: -25.106 eV/atom

[12]
Here is a PBEsol-optimized structure of MgTaCu2 from Alexandria. Energies are from meta-GGA SCAN.

Unit cell a=2.891 b=2.891 c=6.987 alpha=90.00 beta=90.00 gamma=90.00
Fractional coordinates of all 4 atoms:
Cu1 0.000 0.000 0.750
Cu2 0.000 0.000 0.250
Mg1 0.500 0.500 0.000
Ta1 0.500 0.500 0.500

Results
* space group: P4/mmm, No. 123
* DOS at the Fermi energy: 0.59 states/eV per atom
* formation enthalpy at 0 K: 0.005 eV/atom
* final energy: -25.484 eV/atom

[13]
Here is a PBEsol-optimized structure of Mg2CuTc from Alexandria. Energies are from meta-GGA SCAN.

Unit cell a=2.700 b=4.124 c=5.513 alpha=90.00 beta=90.00 gamma=90.00
Fractional coordinates of all 4 atoms:
Cu1 0.500 0.500 0.738
Mg1 0.000 0.000 0.984
Mg2 0.500 0.500 0.274
Tc1 0.000 0.000 0.504

Results
* space group: Pmm2, No. 25
* DOS at the Fermi energy: 0.79 states/eV per atom
* energy above the most stable polymorph in this dataset: 0.053 eV per atom
* formation enthalpy at 0 K: 0.235 eV/atom
* final energy: -14.816 eV/atom

[14]
Here is a PBEsol-optimized structure of MgCu3Tc from Alexandria. Energies are from meta-GGA SCAN.

Unit cell a=4.547 b=4.547 c=4.547 alpha=90.00 beta=90.00 gamma=90.00
Each line ends with the local moment (μB).
Fractional coordinates of all 5 atoms:
Mg1 0.500 0.500 0.500  -0.01
Tc1 0.000 0.000 0.000  1.16
Cu1 0.000 0.500 0.000  0.16
Cu2 0.000 0.000 0.500  0.16
Cu3 0.500 0.000 0.000  0.16

Results
* space group: Pm-3m, No. 221
* DOS at the Fermi energy: 0.64 states/eV per atom
* formation enthalpy at 0 K: 1.163 eV/atom
* final energy: -15.963 eV/atom

[15]
Here is a PBEsol-optimized structure of Mg2CuTc from Alexandria. Energies are from meta-GGA SCAN.

Unit cell a=2.737 b=3.824 c=5.771 alpha=90.00 beta=90.00 gamma=90.00
Fractional coordinates of all 4 atoms:
Cu1 0.500 0.500 0.500
Mg1 0.000 0.000 0.747
Mg2 0.000 0.000 0.253
Tc1 0.500 0.500 0.000

Results
* space group: Pmmm, No. 47
* DOS at the Fermi energy: 0.51 states/eV per atom
* energy above the most stable polymorph in this dataset: 0.000 eV per atom
* formation enthalpy at 0 K: 0.182 eV/atom
* final energy: -14.869 eV/atom

[16]
Here is a PBEsol-optimized structure of MgCuTc from Alexandria. Energies are from meta-GGA SCAN.

Unit cell a=2.616 b=2.616 c=6.431 alpha=101.71 beta=101.71 gamma=90.13
Fractional coordinates of all 3 atoms:
Cu1 0.996 0.996 0.993
Mg1 0.663 0.663 0.326
Tc1 0.341 0.341 0.682

Results
* space group: Fmm2, No. 42
* DOS at the Fermi energy: 0.41 states/eV per atom
* formation enthalpy at 0 K: 0.162 eV/atom
* final energy: -18.249 eV/atom

[17]
Here is a PBEsol-optimized structure of Mg2CuTe from Alexandria. Energies are from meta-GGA SCAN.

Unit cell a=4.210 b=4.221 c=5.292 alpha=113.51 beta=113.44 gamma=90.00
Fractional coordinates of all 4 atoms:
Cu1 0.000 0.500 0.000
Mg1 0.750 0.750 0.500
Mg2 0.250 0.250 0.500
Te1 0.500 0.000 0.000

Results
* space group: Immm, No. 71
* DOS at the Fermi energy: 0.38 states/eV per atom
* energy above the most stable polymorph in this dataset: 0.130 eV per atom
* raw formation energy: -0.200 eV/f.u.
* final energy: -15.649 eV/atom

[18]
Here is a PBEsol-optimized structure of Mg2CuTe from Alexandria. Energies are from meta-GGA SCAN.

Unit cell a=4.127 b=4.127 c=6.388 alpha=71.16 beta=71.16 gamma=60.00
Fractional coordinates of all 4 atoms:
Cu1 0.000 0.000 0.000
Mg1 0.264 0.264 0.209
Mg2 0.736 0.736 0.791
Te1 0.500 0.500 0.500

Results
* space group: R-3m, No. 166
* DOS at the Fermi energy: 0.24 states/eV per atom
* energy above the most stable polymorph in this dataset: 0.000 eV per atom
* raw formation energy: -0.719 eV/f.u.
* final energy: -15.779 eV/atom

[19]
Here is a PBEsol-optimized structure of Mg3TlCu from Alexandria. Energies are from meta-GGA SCAN.

Unit cell a=5.230 b=5.230 c=5.230 alpha=90.00 beta=90.00 gamma=90.00
Fractional coordinates of all 5 atoms:
Tl1 0.000 0.000 0.000
Mg1 0.000 0.500 0.000
Mg2 0.000 0.000 0.500
Mg3 0.500 0.000 0.000
Cu1 0.500 0.500 0.500

Results
* space group: Pm-3m, No. 221
* DOS at the Fermi energy: 0.33 states/eV per atom
* formation enthalpy at 0 K: 0.557 eV/atom
* final energy: -19.939 eV/atom

[20]
Here is a PBEsol-optimized structure of MgTl2CuW from Alexandria. Energies are from meta-GGA SCAN.

Unit cell a=4.520 b=5.146 c=5.146 alpha=90.00 beta=90.00 gamma=90.00
Each line ends with the local moment (μB).
Fractional coordinates of all 5 atoms:
Mg1 0.000 0.000 0.000  -0.01
Tl1 0.000 0.000 0.500  -0.02
Tl2 0.000 0.500 0.000  -0.02
Cu1 0.500 0.000 0.000  0.01
W1 0.500 0.500 0.500  3.07

Results
* space group: P4/mmm, No. 123
* DOS at the Fermi energy: 0.51 states/eV per atom
* formation enthalpy at 0 K: 1.699 eV/atom
* final energy: -45.216 eV/atom